The following is a PBE with a Hubbard U calculation of PmCo2WO6 after structural relaxation, from the Alexandria database.

Its density of states at the Fermi level is 0.000 states/eV per atom. The calculation puts the energy at -71.45 eV/f.u.

The structure belongs to space group P1 (No. 1); the cell edges are 5.3798, 5.4239 and 5.7891 Å and the angles 62.27°, 89.92° and 60.75°. The distinct sites, in fractional coordinates, are Pm at (0.0000, 0.0000, 0.0000), Co at (0.2799, 0.4377, 0.8357), Co at (0.7950, 0.4321, 0.3682), W at (0.4896, 0.0257, 0.4566), O at (0.1002, 0.4793, 0.1773), O at (0.2427, 0.9022, 0.6593), O at (0.4354, 0.9141, 0.1780), O at (0.5726, 0.2200, 0.6570), O at (0.6694, 0.2380, 0.1941) and O at (0.8788, 0.5642, 0.6484).